1.
A plane-wave DFT calculation with PBE was carried out for a relaxed structure of CsNaTl3Au.

**SG**: Cmcm, No. 63
**Calculated formation energy**: -65 meV/atom
**M_tot**: 0.00 μB per formula unit
**Total DFT energy (no corrections)**: -0.079 Ha/atom

Geometry as POSCAR:
```
CsNaTl3Au
1.0
-5.618 -3.529 2.369
4.427 -4.739 3.439
-2.357 7.058 4.926
Cs Na Tl Au
2 2 6 2
direct
0.750 0.290 0.581
0.250 0.710 0.419
0.250 0.368 0.736
0.750 0.632 0.264
0.250 0.140 0.280
0.000 0.261 0.000
0.500 0.739 0.000
0.500 0.261 0.000
0.000 0.739 0.000
0.750 0.860 0.720
0.250 0.917 0.835
0.750 0.083 0.165
```

***

2.
A plane-wave DFT calculation with PBE was carried out for a relaxed structure of CsNaTlAu.

**SG**: Amm2, No. 38
**Calculated formation energy**: -166 meV/atom
**M_tot**: 0.00 μB per formula unit
**Total DFT energy (no corrections)**: -0.078 Ha/atom

Geometry as POSCAR:
```
CsNaTlAu
1.0
-2.623 -3.804 0.081
3.172 -2.250 -2.967
5.025 -0.535 5.779
Cs Na Tl Au
1 1 1 1
direct
0.740 0.500 0.480
0.998 0.000 0.996
0.468 0.500 0.936
0.364 0.000 0.727
```

***

3.
A plane-wave DFT calculation with PBE was carried out for a relaxed structure of Cs2NaTlAu.

**SG**: P4/mmm, No. 123
**Calculated formation energy**: -19 meV/atom
**M_tot**: 0.01 μB per formula unit
**Total DFT energy (no corrections)**: -0.064 Ha/atom

Geometry as POSCAR:
```
Cs2NaTlAu
1.0
-2.927 5.835 -2.210
-0.437 -2.627 -6.356
-5.156 -2.120 1.231
Cs Na Tl Au
2 1 1 1
direct
0.000 0.500 0.000
0.500 0.000 0.000
0.000 0.000 0.500
0.500 0.500 0.500
0.000 0.000 0.000
```

***

4.
A plane-wave DFT calculation with PBE was carried out for a relaxed structure of CsNa2ZnAu.

**SG**: P4/mmm, No. 123
**Calculated formation energy**: -97 meV/atom
**M_tot**: 0.00 μB per formula unit
**Total DFT energy (no corrections)**: -0.063 Ha/atom

Geometry as POSCAR:
```
CsNa2ZnAu
1.0
5.821 0.000 0.000
0.000 5.821 0.000
0.000 0.000 5.145
Cs Na Zn Au
1 2 1 1
direct
0.500 0.500 0.500
0.000 0.500 0.000
0.500 0.000 0.000
0.000 0.000 0.500
0.000 0.000 0.000
```

***

5.
A plane-wave DFT calculation with PBE was carried out for a relaxed structure of CsNaZnAu.

**SG**: R3m, No. 160
**Calculated formation energy**: -173 meV/atom
**M_tot**: 0.00 μB per formula unit
**Total DFT energy (no corrections)**: -0.068 Ha/atom

Geometry as POSCAR:
```
CsNaZnAu
1.0
-0.381 -3.543 2.950
4.180 1.626 -1.133
-1.472 6.846 4.410
Cs Na Zn Au
1 1 1 1
direct
0.375 0.053 0.428
0.019 0.874 0.893
0.815 0.272 0.088
0.483 0.606 0.089
```

***

6.
A plane-wave DFT calculation with PBE was carried out for a relaxed structure of CsNa2ZnAu.

**SG**: P4/mmm, No. 123
**Calculated formation energy**: -30 meV/atom
**M_tot**: 0.00 μB per formula unit
**Total DFT energy (no corrections)**: -0.060 Ha/atom

Geometry as POSCAR:
```
CsNa2ZnAu
1.0
5.786 0.000 0.000
0.000 5.786 0.000
0.000 0.000 5.116
Cs Na Zn Au
1 2 1 1
direct
0.500 0.500 0.500
0.000 0.500 0.000
0.500 0.000 0.000
0.000 0.000 0.000
0.000 0.000 0.500
```